DFT (GGA-PBE) results for a geometry-optimized Tb3CePt8 structure.

Calculated values
E_tot = -6.78 eV per atom
Energy of formation from the pure elements = -1.10 eV/atom
Relative energy among the computed polymorphs = 0 meV/atom

CIF file:
```
data_Tb3CePt8
_symmetry_space_group_name_H-M 'P 1'
_symmetry_Int_Tables_number 1
_cell_length_a 5.458
_cell_length_b 5.458
_cell_length_c 9.453
_cell_angle_alpha 73.22
_cell_angle_beta 73.22
_cell_angle_gamma 60.00
loop_
_symmetry_equiv_pos_as_xyz
'x,y,z'
loop_
_atom_site_label
_atom_site_type_symbol
_atom_site_fract_x
_atom_site_fract_y
_atom_site_fract_z
Tb1 Tb 0.499 0.499 0.502
Pt1 Pt 0.438 0.938 0.187
Pt2 Pt 0.687 0.687 0.938
Tb2 Tb 0.001 0.001 0.997
Pt3 Pt 0.937 0.437 0.689
Tb3 Tb 0.375 0.375 0.874
Pt4 Pt 0.438 0.438 0.187
Pt5 Pt 0.938 0.438 0.187
Pt6 Pt 0.187 0.187 0.438
Pt7 Pt 0.937 0.937 0.689
Ce1 Ce 0.875 0.875 0.376
Pt8 Pt 0.437 0.937 0.689
```